Material: Ba2CeCuO6
Method: DFT, GGA-PBE
State: optimized geometry

CIF file:
```
data_Ba2CeCuO6
_cell_length_a 4.3122
_cell_length_b 4.3122
_cell_length_c 8.2938
_cell_angle_alpha 90.00
_cell_angle_beta 90.00
_cell_angle_gamma 90.00
_space_group_name_H-M_alt 'P 4/m m m'
_space_group_IT_number 123
_space_group_name_Hall '-P 4 2'
loop_
_atom_site_label
_atom_site_type_symbol
_atom_site_fract_x
_atom_site_fract_y
_atom_site_fract_z
_atom_site_occupancy
Ba1 Ba 0.0000 0.0000 0.2203 1
Ce1 Ce 0.5000 0.5000 0.5000 1
Cu1 Cu 0.5000 0.5000 0.0000 1
O1 O 0.0000 0.5000 0.0000 1
O2 O 0.0000 0.5000 0.5000 1
O3 O 0.5000 0.5000 0.2246 1
```

Computed properties:
Uncorrected formation energy: -2180 meV per atom


Material: HfMnTeN2
Method: DFT, GGA-PBE
State: optimized geometry

CIF file:
```
data_HfMnTeN2
_cell_length_a 3.8886
_cell_length_b 3.8886
_cell_length_c 5.0584
_cell_angle_alpha 90.00
_cell_angle_beta 90.00
_cell_angle_gamma 90.00
_space_group_name_H-M_alt 'P 4/m m m'
_space_group_IT_number 123
_space_group_name_Hall '-P 4 2'
loop_
_atom_site_label
_atom_site_type_symbol
_atom_site_fract_x
_atom_site_fract_y
_atom_site_fract_z
_atom_site_occupancy
Hf1 Hf 0.0000 0.0000 0.0000 1
Mn1 Mn 0.5000 0.5000 0.5000 1
Te1 Te 0.5000 0.5000 0.0000 1
N1 N 0.0000 0.5000 0.5000 1
```

Computed properties:
Uncorrected formation energy: 698 meV per atom
Relative energy among the computed polymorphs: 360 meV/atom


Material: Rb3SrTm2Se6
Method: DFT, GGA-PBE
State: optimized geometry

CIF file:
```
data_Rb3SrTm2Se6
_cell_length_a 7.4475
_cell_length_b 12.9063
_cell_length_c 8.4045
_cell_angle_alpha 90.00
_cell_angle_beta 107.27
_cell_angle_gamma 90.00
_space_group_name_H-M_alt 'C 1 2/m 1'
_space_group_IT_number 12
_space_group_name_Hall '-C 2y'
loop_
_atom_site_label
_atom_site_type_symbol
_atom_site_fract_x
_atom_site_fract_y
_atom_site_fract_z
_atom_site_occupancy
Rb1 Rb 0.0000 0.0000 0.0000 1
Rb2 Rb 0.0000 0.3391 0.0000 1
Sr1 Sr 0.0000 0.5000 0.5000 1
Tm1 Tm 0.0000 0.1672 0.5000 1
Se1 Se 0.2081 0.0000 0.6960 1
Se2 Se 0.2452 0.3211 0.6979 1
```

Computed properties:
Uncorrected formation energy: -1583 meV per atom


Material: AcAgBiSe3
Method: DFT, GGA-PBE
State: optimized geometry

CIF file:
```
data_AcAgBiSe3
_cell_length_a 8.4793
_cell_length_b 4.2383
_cell_length_c 9.4984
_cell_angle_alpha 90.00
_cell_angle_beta 106.13
_cell_angle_gamma 90.00
_space_group_name_H-M_alt 'P 1 21/m 1'
_space_group_IT_number 11
_space_group_name_Hall '-P 2yb'
loop_
_atom_site_label
_atom_site_type_symbol
_atom_site_fract_x
_atom_site_fract_y
_atom_site_fract_z
_atom_site_occupancy
Ac1 Ac 0.0304 0.2500 0.2450 1
Ag1 Ag 0.3841 0.7500 0.0003 1
Bi1 Bi 0.4156 0.7500 0.6744 1
Se1 Se 0.1609 0.2500 0.5960 1
Se2 Se 0.1716 0.2500 0.9746 1
Se3 Se 0.3409 0.7500 0.3325 1
```

Computed properties:
Uncorrected formation energy: -897 meV per atom


Material: Ti2MnPt
Method: DFT, GGA-PBE
State: optimized geometry

CIF file:
```
data_Ti2MnPt
_cell_length_a 2.7834
_cell_length_b 4.6867
_cell_length_c 9.9920
_cell_angle_alpha 90.00
_cell_angle_beta 90.00
_cell_angle_gamma 90.00
_space_group_name_H-M_alt 'I m m m'
_space_group_IT_number 71
_space_group_name_Hall '-I 2 2'
loop_
_atom_site_label
_atom_site_type_symbol
_atom_site_fract_x
_atom_site_fract_y
_atom_site_fract_z
_atom_site_occupancy
Ti1 Ti 0.0000 0.0000 0.2484 1
Mn1 Mn 0.0000 0.0000 0.0000 1
Pt1 Pt 0.0000 0.0000 0.5000 1
```

Computed properties:
E_form: 0.159 eV/atom


Material: CeDyEr3Tm
Method: DFT, GGA-PBE
State: optimized geometry

CIF file:
```
data_CeDyEr3Tm
_cell_length_a 4.9764
_cell_length_b 14.8867
_cell_length_c 9.9273
_cell_angle_alpha 90.00
_cell_angle_beta 90.00
_cell_angle_gamma 90.00
_space_group_name_H-M_alt 'C m c m'
_space_group_IT_number 63
_space_group_name_Hall '-C 2c 2'
loop_
_atom_site_label
_atom_site_type_symbol
_atom_site_fract_x
_atom_site_fract_y
_atom_site_fract_z
_atom_site_occupancy
Ce1 Ce 0.0000 0.0001 0.2500 1
Dy1 Dy 0.0000 0.5000 0.0000 1
Er1 Er 0.0000 0.1651 0.9999 1
Er2 Er 0.0000 0.3325 0.2500 1
Tm1 Tm 0.0000 0.3327 0.7500 1
```

Computed properties:
E_form: 0.055 eV/atom


Material: CrReSb2
Method: DFT, GGA-PBE
State: optimized geometry

CIF file:
```
data_CrReSb2
_cell_length_a 8.5259
_cell_length_b 3.3661
_cell_length_c 5.4824
_cell_angle_alpha 90.00
_cell_angle_beta 99.72
_cell_angle_gamma 90.00
_space_group_name_H-M_alt 'C 1 2/m 1'
_space_group_IT_number 12
_space_group_name_Hall '-C 2y'
loop_
_atom_site_label
_atom_site_type_symbol
_atom_site_fract_x
_atom_site_fract_y
_atom_site_fract_z
_atom_site_occupancy
Cr1 Cr 0.0000 0.0000 0.0000 1
Re1 Re 0.0000 0.5000 0.5000 1
Sb1 Sb 0.2374 0.0000 0.7359 1
```

Computed properties:
Uncorrected formation energy: 528 meV per atom
Relative energy among the computed polymorphs: 307 meV/atom


Material: LaNiMo4
Method: DFT, GGA-PBE
State: optimized geometry

CIF file:
```
data_LaNiMo4
_cell_length_a 7.6437
_cell_length_b 7.6437
_cell_length_c 7.6437
_cell_angle_alpha 90.00
_cell_angle_beta 90.00
_cell_angle_gamma 90.00
_space_group_name_H-M_alt 'F -4 3 m'
_space_group_IT_number 216
_space_group_name_Hall 'F -4 2 3'
loop_
_atom_site_label
_atom_site_type_symbol
_atom_site_fract_x
_atom_site_fract_y
_atom_site_fract_z
_atom_site_occupancy
La1 La 0.0000 0.0000 0.0000 1
Ni1 Ni 0.2500 0.2500 0.2500 1
Mo1 Mo 0.1251 0.1251 0.6251 1
```

Computed properties:
E_form: 0.578 eV/atom


Material: Nd2Mg2Hg
Method: DFT, GGA-PBE
State: optimized geometry

CIF file:
```
data_Nd2Mg2Hg
_cell_length_a 11.3945
_cell_length_b 5.2000
_cell_length_c 9.5897
_cell_angle_alpha 90.00
_cell_angle_beta 107.30
_cell_angle_gamma 90.00
_space_group_name_H-M_alt 'C 1 2/m 1'
_space_group_IT_number 12
_space_group_name_Hall '-C 2y'
loop_
_atom_site_label
_atom_site_type_symbol
_atom_site_fract_x
_atom_site_fract_y
_atom_site_fract_z
_atom_site_occupancy
Nd1 Nd 0.0289 0.0000 0.3443 1
Nd2 Nd 0.1688 0.0000 0.0711 1
Mg1 Mg 0.0198 0.5000 0.8582 1
Mg2 Mg 0.1455 0.5000 0.5747 1
Hg1 Hg 0.2362 0.5000 0.3038 1
```

Computed properties:
Relative energy among the computed polymorphs: 16 meV/atom
E_form: -0.203 eV/atom


Material: Cu2MoSe
Method: DFT, GGA-PBE
State: optimized geometry

CIF file:
```
data_Cu2MoSe
_cell_length_a 2.6437
_cell_length_b 4.0421
_cell_length_c 5.6143
_cell_angle_alpha 90.00
_cell_angle_beta 90.00
_cell_angle_gamma 90.00
_space_group_name_H-M_alt 'P m m m'
_space_group_IT_number 47
_space_group_name_Hall '-P 2 2'
loop_
_atom_site_label
_atom_site_type_symbol
_atom_site_fract_x
_atom_site_fract_y
_atom_site_fract_z
_atom_site_occupancy
Cu1 Cu 0.0000 0.0000 0.2296 1
Mo1 Mo 0.5000 0.5000 0.0000 1
Se1 Se 0.5000 0.5000 0.5000 1
```

Computed properties:
Uncorrected formation energy: 394 meV per atom


Material: MnCr2As
Method: DFT, GGA-PBE
State: optimized geometry

CIF file:
```
data_MnCr2As
_cell_length_a 3.9412
_cell_length_b 3.9412
_cell_length_c 3.1948
_cell_angle_alpha 90.00
_cell_angle_beta 90.00
_cell_angle_gamma 90.00
_space_group_name_H-M_alt 'P 4/m m m'
_space_group_IT_number 123
_space_group_name_Hall '-P 4 2'
loop_
_atom_site_label
_atom_site_type_symbol
_atom_site_fract_x
_atom_site_fract_y
_atom_site_fract_z
_atom_site_occupancy
Mn1 Mn 0.0000 0.0000 0.0000 1
Cr1 Cr 0.0000 0.5000 0.5000 1
As1 As 0.5000 0.5000 0.0000 1
```

Computed properties:
E_form: 0.114 eV/atom


Material: Mn2Co2Ni
Method: DFT, GGA-PBE
State: optimized geometry

CIF file:
```
data_Mn2Co2Ni
_cell_length_a 6.7138
_cell_length_b 6.7138
_cell_length_c 2.4629
_cell_angle_alpha 90.00
_cell_angle_beta 90.00
_cell_angle_gamma 90.00
_space_group_name_H-M_alt 'P 4/m b m'
_space_group_IT_number 127
_space_group_name_Hall '-P 4 2ab'
loop_
_atom_site_label
_atom_site_type_symbol
_atom_site_fract_x
_atom_site_fract_y
_atom_site_fract_z
_atom_site_occupancy
Mn1 Mn 0.1218 0.3782 0.0000 1
Co1 Co 0.1713 0.6713 0.5000 1
Ni1 Ni 0.0000 0.0000 0.0000 1
```

Computed properties:
Relative energy among the computed polymorphs: 119 meV/atom
E_form: 0.274 eV/atom


Results for calculated density: 6.18, 8.45, 4.98, 7.91, 8.81, 8.79, 10.32, 8.65, 6.58, 8.36, 7.83, 8.57 (in g cm⁻³, following the order of the records).